# PBE Ce3In4Hg2, relaxed
data_Ce3In4Hg2
_symmetry_space_group_name_H-M 'C 1 2/m 1'
_symmetry_Int_Tables_number 12
_cell_length_a 11.344
_cell_length_b 5.065
_cell_length_c 9.485
_cell_angle_alpha 90.00
_cell_angle_beta 119.04
_cell_angle_gamma 90.00
loop_
_symmetry_equiv_pos_as_xyz
'x,y,z'
'-x,-y,-z'
'-x,y,-z'
'x,-y,z'
'x+1/2,y+1/2,z'
'-x+1/2,-y+1/2,-z'
'-x+1/2,y+1/2,-z'
'x+1/2,-y+1/2,z'
loop_
_atom_site_label
_atom_site_type_symbol
_atom_site_fract_x
_atom_site_fract_y
_atom_site_fract_z
_atom_site_occupancy
Ce1 Ce 0.000 0.000 0.000 1
Ce2 Ce 0.169 0.500 0.664 1
In1 In 0.045 0.000 0.378 1
In2 In 0.231 0.500 0.066 1
Hg1 Hg 0.113 0.500 0.280 1
# Formation energy from the elements ... -0.36 eV/atom
# Density ... 8.9 Mg/m³
# Magnetic moment ... 8.06 μB/cell
# Uncorrected energy ... -3.6202 eV/atom

***

# PBE MgSc2HgN, relaxed
data_MgSc2HgN
_symmetry_space_group_name_H-M 'P 4/m m m'
_symmetry_Int_Tables_number 123
_symmetry_space_group_name_Hall '-P 4 2'
_cell_length_a 4.422
_cell_length_b 4.422
_cell_length_c 4.420
_cell_angle_alpha 90.00
_cell_angle_beta 90.00
_cell_angle_gamma 90.00
loop_
_atom_site_label
_atom_site_type_symbol
_atom_site_fract_x
_atom_site_fract_y
_atom_site_fract_z
_atom_site_occupancy
Mg1 Mg 0.000 0.000 0.000 1
Sc1 Sc 0.000 0.500 0.500 1
Hg1 Hg 0.500 0.500 0.000 1
N1 N 0.000 0.000 0.500 1
# Density ... 6.3 Mg/m³
# Raw formation energy ... -867 meV per atom
# Magnetic moment ... 0.00 μB/cell
# Uncorrected energy ... -5.4441 eV/atom

***

# PBE Nd4SnGeSe2, relaxed
data_Nd4SnGeSe2
_symmetry_space_group_name_H-M 'P 1 2/m 1'
_symmetry_Int_Tables_number 10
_cell_length_a 7.529
_cell_length_b 4.317
_cell_length_c 7.546
_cell_angle_alpha 90.00
_cell_angle_beta 109.22
_cell_angle_gamma 90.00
loop_
_symmetry_equiv_pos_as_xyz
'x,y,z'
'-x,-y,-z'
'-x,y,-z'
'x,-y,z'
loop_
_atom_site_label
_atom_site_type_symbol
_atom_site_fract_x
_atom_site_fract_y
_atom_site_fract_z
_atom_site_occupancy
Nd1 Nd 0.240 0.000 0.245 1
Nd2 Nd 0.241 0.500 0.747 1
Sn1 Sn 0.500 0.000 0.000 1
Ge1 Ge 0.000 0.500 0.000 1
Se1 Se 0.000 0.000 0.500 1
Se2 Se 0.500 0.500 0.500 1
# Density ... 6.6 Mg/m³
# Raw formation energy ... -1327 meV per atom
# Magnetic moment ... 0.00 μB/cell
# Uncorrected energy ... -5.6592 eV/atom

***

# PBE VCu2Sb2, relaxed
data_VCu2Sb2
_symmetry_space_group_name_H-M 'I 4/m m m'
_symmetry_Int_Tables_number 139
_symmetry_space_group_name_Hall '-I 4 2'
_cell_length_a 5.121
_cell_length_b 5.121
_cell_length_c 7.580
_cell_angle_alpha 90.00
_cell_angle_beta 90.00
_cell_angle_gamma 90.00
loop_
_atom_site_label
_atom_site_type_symbol
_atom_site_fract_x
_atom_site_fract_y
_atom_site_fract_z
_atom_site_occupancy
V1 V 0.000 0.000 0.000 1
Cu1 Cu 0.000 0.000 0.344 1
Sb1 Sb 0.000 0.500 0.250 1
# Density ... 7.0 Mg/m³
# Raw formation energy ... 438 meV per atom
# Magnetic moment ... 6.43 μB/cell
# Uncorrected energy ... -4.6729 eV/atom

***

# PBE LaBrCl, relaxed
data_LaBrCl
_symmetry_space_group_name_H-M 'P -1'
_symmetry_Int_Tables_number 2
_cell_length_a 3.731
_cell_length_b 7.773
_cell_length_c 7.846
_cell_angle_alpha 71.55
_cell_angle_beta 76.26
_cell_angle_gamma 76.50
loop_
_symmetry_equiv_pos_as_xyz
'x,y,z'
'-x,-y,-z'
loop_
_atom_site_label
_atom_site_type_symbol
_atom_site_fract_x
_atom_site_fract_y
_atom_site_fract_z
_atom_site_occupancy
La1 La 0.127 0.277 0.462 1
Br1 Br 0.176 0.908 0.753 1
Cl1 Cl 0.437 0.407 0.716 1
# Density ... 4.1 Mg/m³
# Raw formation energy ... -1878 meV per atom
# Magnetic moment ... 0.34 μB/cell
# Uncorrected energy ... -4.6937 eV/atom

***

# PBE SrCa2Zn, relaxed
data_SrCa2Zn
_symmetry_space_group_name_H-M 'P m m 2'
_symmetry_Int_Tables_number 25
_cell_length_a 3.820
_cell_length_b 3.882
_cell_length_c 9.667
_cell_angle_alpha 90.00
_cell_angle_beta 90.00
_cell_angle_gamma 90.00
loop_
_symmetry_equiv_pos_as_xyz
'x,y,z'
'-x,-y,z'
'-x,y,z'
'x,-y,z'
loop_
_atom_site_label
_atom_site_type_symbol
_atom_site_fract_x
_atom_site_fract_y
_atom_site_fract_z
_atom_site_occupancy
Sr1 Sr 0.000 0.000 0.000 1
Ca1 Ca 0.000 0.000 0.620 1
Ca2 Ca 0.500 0.500 0.326 1
Zn1 Zn 0.500 0.500 0.793 1
# Formation energy from the elements ... -0.11 eV/atom
# Density ... 2.7 Mg/m³
# Magnetic moment ... 0.00 μB/cell
# Uncorrected energy ... -1.8486 eV/atom

***

# PBE Nd6Sm2ErTm, relaxed
data_Nd6Sm2ErTm
_symmetry_space_group_name_H-M 'C 1 2/c 1'
_symmetry_Int_Tables_number 15
_cell_length_a 9.240
_cell_length_b 15.398
_cell_length_c 9.728
_cell_angle_alpha 90.00
_cell_angle_beta 97.91
_cell_angle_gamma 90.00
loop_
_symmetry_equiv_pos_as_xyz
'x,y,z'
'-x,-y,-z'
'-x,y,-z+1/2'
'x,-y,z+1/2'
'x+1/2,y+1/2,z'
'-x+1/2,-y+1/2,-z'
'-x+1/2,y+1/2,-z+1/2'
'x+1/2,-y+1/2,z+1/2'
loop_
_atom_site_label
_atom_site_type_symbol
_atom_site_fract_x
_atom_site_fract_y
_atom_site_fract_z
_atom_site_occupancy
Nd1 Nd 0.059 0.181 0.446 1
Nd2 Nd 0.103 0.393 0.618 1
Nd3 Nd 0.209 0.221 0.810 1
Sm1 Sm 0.248 0.050 0.044 1
Er1 Er 0.000 0.024 0.750 1
Tm1 Tm 0.000 0.410 0.250 1
# Formation energy from the elements ... 0.12 eV/atom
# Density ... 7.3 Mg/m³
# Magnetic moment ... 0.00 μB/cell
# Uncorrected energy ... -4.5928 eV/atom

***

# PBE Ba4CoBr, relaxed
data_Ba4CoBr
_symmetry_space_group_name_H-M 'F -4 3 m'
_symmetry_Int_Tables_number 216
_symmetry_space_group_name_Hall 'F -4 2 3'
_cell_length_a 10.399
_cell_length_b 10.399
_cell_length_c 10.399
_cell_angle_alpha 90.00
_cell_angle_beta 90.00
_cell_angle_gamma 90.00
loop_
_atom_site_label
_atom_site_type_symbol
_atom_site_fract_x
_atom_site_fract_y
_atom_site_fract_z
_atom_site_occupancy
Ba1 Ba 0.124 0.124 0.376 1
Co1 Co 0.250 0.250 0.750 1
Br1 Br 0.000 0.000 0.000 1
# Density ... 4.1 Mg/m³
# Raw formation energy ... 564 meV per atom
# Magnetic moment ... 3.20 μB/cell
# Uncorrected energy ... -2.1812 eV/atom

***

Copy entry 2 word for word.
# PBE MgSc2HgN, relaxed
data_MgSc2HgN
_symmetry_space_group_name_H-M 'P 4/m m m'
_symmetry_Int_Tables_number 123
_symmetry_space_group_name_Hall '-P 4 2'
_cell_length_a 4.422
_cell_length_b 4.422
_cell_length_c 4.420
_cell_angle_alpha 90.00
_cell_angle_beta 90.00
_cell_angle_gamma 90.00
loop_
_atom_site_label
_atom_site_type_symbol
_atom_site_fract_x
_atom_site_fract_y
_atom_site_fract_z
_atom_site_occupancy
Mg1 Mg 0.000 0.000 0.000 1
Sc1 Sc 0.000 0.500 0.500 1
Hg1 Hg 0.500 0.500 0.000 1
N1 N 0.000 0.000 0.500 1
# Density ... 6.3 Mg/m³
# Raw formation energy ... -867 meV per atom
# Magnetic moment ... 0.00 μB/cell
# Uncorrected energy ... -5.4441 eV/atom